The following is a DFT calculation (PBE-GGA) of a relaxed structure of ScAlGaIr.

Calculated values
- Total magnetization: 0.0000 μB per atom
- Energy of formation: -0.6277 eV/atom
- V: 16.1 A^3/atom
- SG: F-43m, No. 216

Lattice parameters (Å, degrees): 6.3584 6.3584 6.3584 90.00 90.00 90.00
With the nearest neighbours (Å) after each atom.
Sites, in units of the cell vectors:
Sc  0.0000  0.0000  0.0000  4 Ir 2.75, 4 Ga 2.75
Sc  0.0000  0.5000  0.5000  4 Ir 2.75, 4 Ga 2.75
Sc  0.5000  0.0000  0.5000  4 Ir 2.75, 4 Ga 2.75
Sc  0.5000  0.5000  0.0000  4 Ir 2.75, 4 Ga 2.75
Al  0.0000  0.0000  0.5000  4 Ir 2.75, 4 Ga 2.75
Al  0.0000  0.5000  0.0000  4 Ir 2.75, 4 Ga 2.75
Al  0.5000  0.0000  0.0000  4 Ir 2.75, 4 Ga 2.75
Al  0.5000  0.5000  0.5000  4 Ir 2.75, 4 Ga 2.75
Ga  0.2500  0.2500  0.7500  4 Sc 2.75, 4 Al 2.75
Ga  0.2500  0.7500  0.2500  4 Sc 2.75, 4 Al 2.75
Ga  0.7500  0.2500  0.2500  4 Sc 2.75, 4 Al 2.75
Ga  0.7500  0.7500  0.7500  4 Sc 2.75, 4 Al 2.75
Ir  0.2500  0.2500  0.2500  4 Sc 2.75, 4 Al 2.75
Ir  0.2500  0.7500  0.7500  4 Sc 2.75, 4 Al 2.75
Ir  0.7500  0.2500  0.7500  4 Sc 2.75, 4 Al 2.75
Ir  0.7500  0.7500  0.2500  4 Sc 2.75, 4 Al 2.75